Ca2ErMnO4, optimized geometry, DFT PBE with a Hubbard U; volume = 106.76 Å³ per cell; density of states at the Fermi level = 1.07 states/eV/cell; uncorrected energy = -56.4 eV per cell
1.0
3.361 0.000 0.000
0.000 5.773 0.086
0.000 -2.032 5.473
Ca Er Mn O
2 1 1 4
Direct
0.500 0.000 0.500
0.000 0.500 0.500
0.500 0.500 0.000
0.000 0.000 0.000
0.500 0.248 0.235
0.500 0.752 0.765
0.000 0.258 0.762
0.000 0.742 0.238